Entry i
ScAgRh3, optimized geometry, DFT PBE; volume = 20.0 A^3/atom; SG = Pm-3m (221); spin magnetization = 0.9 μB/cell; theoretical density = 7.68 g/cm³
1.0
4.638 0.000 0.000
0.000 4.638 0.000
0.000 0.000 4.638
Sc Ag Rh
1 1 3
Cartesian
0.000 0.000 0.000
2.319 2.319 2.319
0.000 0.000 2.319
0.000 2.319 0.000
2.319 0.000 0.000

***

Entry ii
ScAgRh3, optimized geometry, DFT PBE; volume = 21.7 A^3/atom; SG = Pm-3m (221); spin magnetization = 0.9 μB/cell; theoretical density = 7.06 g/cm³
1.0
4.771 0.000 0.000
0.000 4.771 0.000
0.000 0.000 4.771
Sc Ag Rh
1 1 3
Cartesian
0.000 0.000 0.000
2.385 2.385 2.385
0.000 2.385 2.385
2.385 0.000 2.385
2.385 2.385 0.000

***

Going by the energies, entry i is most stable and the next is 335 meV per atom up.

***

Entry i
Sc2AgSnRh, optimized geometry, DFT PBE; volume = 27.9 A^3/atom; SG = P4/mmm (123); spin magnetization = 0.0 μB/cell; theoretical density = 4.99 g/cm³
1.0
5.322 0.000 0.000
0.000 5.322 0.000
0.000 0.000 4.924
Sc Ag Sn Rh
2 1 1 1
Cartesian
0.000 2.661 0.000
2.661 0.000 0.000
0.000 0.000 2.462
0.000 0.000 0.000
2.661 2.661 2.462

***

Entry ii
Sc2AgSnRh, optimized geometry, DFT PBE; volume = 24.5 A^3/atom; SG = P4/mmm (123); spin magnetization = 0.0 μB/cell; theoretical density = 5.69 g/cm³
1.0
5.005 0.000 0.000
0.000 5.005 0.000
0.000 0.000 4.887
Sc Ag Sn Rh
2 1 1 1
Cartesian
0.000 2.503 0.000
2.503 0.000 0.000
0.000 0.000 0.000
2.503 2.503 2.444
0.000 0.000 2.444

***

Going by the energies, entry ii is most stable and the next is 364 meV per atom up.

***

Entry i
AgRhSe, optimized geometry, DFT PBE; volume = 19.3 A^3/atom; SG = F-43m (216); spin magnetization = 0.0 μB/cell; theoretical density = 8.30 g/cm³
1.0
6.144 0.000 0.000
0.000 6.144 0.000
0.000 0.000 6.144
Ag Rh Se
4 4 4
Cartesian
0.000 0.000 0.000
0.000 3.072 3.072
3.072 0.000 3.072
3.072 3.072 0.000
1.536 1.536 1.536
1.536 4.608 4.608
4.608 1.536 4.608
4.608 4.608 1.536
0.000 0.000 3.072
0.000 3.072 0.000
3.072 0.000 0.000
3.072 3.072 3.072

***

Entry ii
AgRhSe, optimized geometry, DFT PBE; volume = 17.7 A^3/atom; SG = I4mm (107); spin magnetization = 0.0 μB/cell; theoretical density = 9.04 g/cm³
1.0
3.340 0.000 0.000
0.000 3.340 0.000
0.000 0.000 9.546
Ag Rh Se
2 2 2
Cartesian
0.000 0.000 0.000
1.670 1.670 4.773
0.000 0.000 6.650
1.670 1.670 1.877
0.000 0.000 2.769
1.670 1.670 7.542

***

Going by the energies, entry ii is most stable and the next is 189 meV per atom up.

***

Entry i
AgRhSe, optimized geometry, DFT PBE; volume = 19.7 A^3/atom; SG = P3m1 (156); spin magnetization = 0.0 μB/cell; theoretical density = 8.15 g/cm³
1.0
3.336 0.000 0.000
-1.668 2.889 0.000
0.000 0.000 6.124
Ag Rh Se
1 1 1
Cartesian
0.000 0.000 0.000
1.668 0.963 2.059
0.000 1.926 3.448

***

Entry ii
AgRhSe, optimized geometry, DFT PBE; volume = 17.6 A^3/atom; SG = P-6m2 (187); spin magnetization = 0.0 μB/cell; theoretical density = 9.12 g/cm³
1.0
4.267 0.000 0.000
-2.133 3.695 0.000
0.000 0.000 3.346
Ag Rh Se
1 1 1
Cartesian
0.000 0.000 0.000
2.133 1.232 1.673
0.000 2.464 1.673

***

Going by the energies, entry i is most stable and the next is 162 meV per atom up.

***

Entry i
AgRh3Se, optimized geometry, DFT PBE; volume = 18.9 A^3/atom; SG = Pm-3m (221); spin magnetization = 0.0 μB/cell; theoretical density = 8.71 g/cm³
1.0
4.555 0.000 0.000
0.000 4.555 0.000
0.000 0.000 4.555
Ag Rh Se
1 3 1
Cartesian
0.000 0.000 0.000
0.000 2.277 2.277
2.277 0.000 2.277
2.277 2.277 0.000
2.277 2.277 2.277

***

Entry ii
AgRh3Se, optimized geometry, DFT PBE; volume = 22.5 A^3/atom; SG = Pm-3m (221); spin magnetization = 3.1 μB/cell; theoretical density = 7.30 g/cm³
1.0
4.831 0.000 0.000
0.000 4.831 0.000
0.000 0.000 4.831
Ag Rh Se
1 3 1
Cartesian
0.000 0.000 0.000
0.000 0.000 2.415
0.000 2.415 0.000
2.415 0.000 0.000
2.415 2.415 2.415

***

Going by the energies, entry i is most stable and the next is 1269 meV per atom up.

***

Entry i
Si2AgRh2, optimized geometry, DFT PBE; volume = 15.8 A^3/atom; SG = I4/mmm (139); spin magnetization = 0.0 μB/cell; theoretical density = 7.79 g/cm³
1.0
4.059 0.000 0.000
0.000 4.059 0.000
0.000 0.000 9.567
Si Ag Rh
4 2 4
Cartesian
0.000 0.000 1.164
0.000 0.000 8.403
2.029 2.029 3.619
2.029 2.029 5.948
0.000 0.000 4.783
2.029 2.029 0.000
0.000 2.029 2.392
0.000 2.029 7.175
2.029 0.000 2.392
2.029 0.000 7.175

***

Entry ii
Si2AgRh2, optimized geometry, DFT PBE; volume = 15.4 A^3/atom; SG = I4/mmm (139); spin magnetization = 0.0 μB/cell; theoretical density = 7.96 g/cm³
1.0
3.667 0.000 0.000
0.000 3.667 0.000
0.000 0.000 11.480
Si Ag Rh
4 2 4
Cartesian
0.000 1.833 2.870
0.000 1.833 8.610
1.833 0.000 2.870
1.833 0.000 8.610
0.000 0.000 0.000
1.833 1.833 5.740
0.000 0.000 4.371
0.000 0.000 7.108
1.833 1.833 1.368
1.833 1.833 10.111

***

Going by the energies, entry i is most stable and the next is 9 meV per atom up.